La2PmNO2: relaxed, PBE-GGA.

VASP energy   -47.1 eV for the cell shown
Space group   No. 164

Lattice parameters (Å, degrees): 3.614 3.614 8.880 90.00 90.00 120.00
Fractional coordinates of all 6 atoms:
La: 0.333 0.667 0.165
La: 0.667 0.333 0.835
Pm: 0.000 0.000 0.500
N: 0.000 0.000 0.000
O: 0.333 0.667 0.646
O: 0.667 0.333 0.354


LaPtNO: relaxed, PBE-GGA.

VASP energy   -59.0 eV for the cell shown
Space group   No. 129

Lattice parameters (Å, degrees): 4.239 4.239 7.619 90.00 90.00 90.00
Fractional coordinates of all 8 atoms:
La: 0.250 0.250 0.149
La: 0.750 0.750 0.851
Pt: 0.250 0.750 0.500
Pt: 0.750 0.250 0.500
N: 0.250 0.250 0.470
N: 0.750 0.750 0.530
O: 0.250 0.750 0.000
O: 0.750 0.250 0.000


> VASP energy of number 1 (La2PmNO2)?

-47.1 eV for the cell shown